Entry 1:
Compound: Rb5Sn2Pb12
Source: the Alexandria database
Functional: PBE
Structure: optimized geometry

Cell lengths 23.2258, 8.0129, 8.1525 Å; angles 90.00, 102.23, 90.00 degrees
With the nearest neighbours (Å) after each atom.
Space group C2/m (No. 12)
One atom of each set of equivalent atoms:
Rb (0.0000, 0.0000, 0.0000) (multiplicity 2)  8 Pb 3.68-3.89
Rb (0.1909, 0.5000, 0.5641) (multiplicity 4)  7 Pb 3.74-4.05
Rb (0.2389, 0.0000, 0.8989) (multiplicity 4)  7 Pb 3.73-4.11
Sn (0.0000, 0.2143, 0.5000) (multiplicity 4)  4 Pb 3.15-3.22, 1 Sn 3.43
Pb (0.0445, 0.5000, 0.1922) (multiplicity 4)  7 Pb 3.37-3.65, 2 Sn 3.70
Pb (0.0934, 0.3051, 0.8406) (multiplicity 8)  2 Pb 3.12-3.17, 1 Sn 3.22
Pb (0.1150, 0.0000, 0.5243) (multiplicity 4)  2 Sn 3.15, 2 Pb 3.23
Pb (0.1509, 0.1938, 0.2127) (multiplicity 8)  4 Pb 3.11-3.46

## Properties
The calculation puts the density of states at the Fermi level at 9.3 states/eV/f.u. The crystal system is monoclinic. The formation energy comes out at -0.048 eV per atom.

Entry 2:
Compound: RbSn3Pb2
Source: the Alexandria database
Functional: PBE
Structure: optimized geometry

Cell lengths 6.4180, 6.4180, 5.7917 Å; angles 90.00, 90.00, 120.00 degrees
With the nearest neighbours (Å) after each atom.
Space group P6/mmm (No. 191)
One atom of each set of equivalent atoms:
Rb (0.0000, 0.0000, 0.0000) (multiplicity 1)  6 Pb 3.71
Sn (0.0000, 0.5000, 0.5000) (multiplicity 3)  4 Sn 3.21, 4 Pb 3.44
Pb (0.3333, 0.6667, 0.0000) (multiplicity 2)  6 Sn 3.44, 3 Rb 3.71, 3 Pb 3.71

## Properties
The calculation puts the density of states at the Fermi level at 2.4 states/eV/f.u. The crystal system is hexagonal. The formation energy comes out at -0.045 eV per atom.

Entry 3:
Compound: RbSnPb2
Source: the Alexandria database
Functional: PBE
Structure: optimized geometry

Cell lengths 5.1403, 5.1403, 5.0299 Å; angles 90.00, 90.00, 90.00 degrees
With the nearest neighbours (Å) after each atom.
Space group P4/mmm (No. 123)
One atom of each set of equivalent atoms:
Rb (0.0000, 0.0000, 0.0000) (multiplicity 1)  8 Pb 3.60, 4 Sn 3.63
Sn (0.5000, 0.5000, 0.0000) (multiplicity 1)  8 Pb 3.60, 4 Rb 3.63
Pb (0.0000, 0.5000, 0.5000) (multiplicity 2)  4 Sn 3.60, 4 Rb 3.60, 4 Pb 3.63

## Properties
The calculation puts the density of states at the Fermi level at 2.0 states/eV/f.u. The crystal system is tetragonal. The formation energy comes out at 0.045 eV per atom.